# PBE-GGA NdDy2Zr, relaxed
# DFT total energy: -0.2005 hartree per atom
# DFT formation energy: 0.17 eV per atom
# distance to the lowest polymorph of the same formula: 0.089 eV per atom
data_NdDy2Zr
_chemical_formula_sum 'Nd1 Dy2 Zr1'
_cell_length_a 4.026
_cell_length_b 4.026
_cell_length_c 7.404
_cell_angle_alpha 90.00
_cell_angle_beta 90.00
_cell_angle_gamma 90.00
_space_group_name_H-M_alt 'P 4/m m m'
_space_group_IT_number 123
_space_group_name_Hall '-P 4 2'
loop_
_atom_site_label
_atom_site_fract_x
_atom_site_fract_y
_atom_site_fract_z
_atom_site_occupancy
Nd1 0.000 0.000 0.000 1
Dy1 0.500 0.500 0.281 1
Zr1 0.000 0.000 0.500 1

=====

# PBE-GGA Pm11Tl9Pd4, relaxed
# DFT total energy: -0.1648 hartree per atom
# DFT formation energy: -0.55 eV per atom
data_Pm11Tl9Pd4
_chemical_formula_sum 'Pm22 Tl18 Pd8'
_cell_length_a 15.050
_cell_length_b 22.621
_cell_length_c 3.809
_cell_angle_alpha 90.00
_cell_angle_beta 90.00
_cell_angle_gamma 90.00
_space_group_name_H-M_alt 'C m m m'
_space_group_IT_number 65
_space_group_name_Hall '-C 2 2'
loop_
_atom_site_label
_atom_site_fract_x
_atom_site_fract_y
_atom_site_fract_z
_atom_site_occupancy
Pm1 0.000 0.000 0.000 1
Pm2 0.000 0.163 0.000 1
Pm3 0.000 0.372 0.000 1
Pm4 0.191 0.500 0.000 1
Pm5 0.245 0.170 0.000 1
Tl1 0.000 0.500 0.500 1
Tl2 0.107 0.262 0.500 1
Tl3 0.143 0.072 0.500 1
Pd1 0.152 0.400 0.500 1

=====

# PBE-GGA LaPrTh2As4, relaxed
# DFT total energy: -0.2529 hartree per atom
# DFT formation energy: -1.49 eV per atom
data_LaPrTh2As4
_chemical_formula_sum 'La1 Pr1 Th2 As4'
_cell_length_a 7.437
_cell_length_b 4.296
_cell_length_c 7.444
_cell_angle_alpha 90.00
_cell_angle_beta 109.52
_cell_angle_gamma 90.00
_space_group_name_H-M_alt 'P 1 2/m 1'
_space_group_IT_number 10
_space_group_name_Hall '-P 2y'
loop_
_atom_site_label
_atom_site_fract_x
_atom_site_fract_y
_atom_site_fract_z
_atom_site_occupancy
La1 0.000 0.000 0.000 1
Pr1 0.500 0.500 0.000 1
Th1 0.000 0.500 0.500 1
Th2 0.500 0.000 0.500 1
As1 0.248 0.000 0.743 1
As2 0.253 0.500 0.258 1

=====

# PBE-GGA Dy6P5Cl, relaxed
# DFT total energy: -0.2341 hartree per atom
# raw formation energy: -1.660 eV per atom
data_Dy6P5Cl
_chemical_formula_sum 'Dy12 P10 Cl2'
_cell_length_a 6.947
_cell_length_b 12.007
_cell_length_c 6.922
_cell_angle_alpha 90.00
_cell_angle_beta 109.49
_cell_angle_gamma 90.00
_space_group_name_H-M_alt 'C 1 2/m 1'
_space_group_IT_number 12
_space_group_name_Hall '-C 2y'
loop_
_atom_site_label
_atom_site_fract_x
_atom_site_fract_y
_atom_site_fract_z
_atom_site_occupancy
Dy1 0.237 0.000 0.259 1
Dy2 0.239 0.175 0.741 1
P1 0.000 0.000 0.500 1
P2 0.000 0.167 0.000 1
P3 0.000 0.338 0.500 1
Cl1 0.000 0.500 0.000 1

=====

# PBE-GGA SrCd2Ru, relaxed
# DFT total energy: -0.1072 hartree per atom
# DFT formation energy: 0.28 eV per atom
data_SrCd2Ru
_chemical_formula_sum 'Sr2 Cd4 Ru2'
_cell_length_a 3.656
_cell_length_b 5.018
_cell_length_c 10.154
_cell_angle_alpha 90.00
_cell_angle_beta 90.00
_cell_angle_gamma 90.00
_space_group_name_H-M_alt 'I m m 2'
_space_group_IT_number 44
_space_group_name_Hall 'I 2 -2'
loop_
_atom_site_label
_atom_site_fract_x
_atom_site_fract_y
_atom_site_fract_z
_atom_site_occupancy
Sr1 0.000 0.000 0.000 1
Cd1 0.000 0.000 0.560 1
Cd2 0.000 0.500 0.783 1
Ru1 0.000 0.500 0.259 1

=====

# PBE-GGA Al3OsN, relaxed
# DFT total energy: -0.2348 hartree per atom
# raw formation energy: -0.233 eV per atom
# distance to the lowest polymorph of the same formula: 0.000 eV per atom
data_Al3OsN
_chemical_formula_sum 'Al3 Os1 N1'
_cell_length_a 3.955
_cell_length_b 3.955
_cell_length_c 3.955
_cell_angle_alpha 90.00
_cell_angle_beta 90.00
_cell_angle_gamma 90.00
_space_group_name_H-M_alt 'P m -3 m'
_space_group_IT_number 221
_space_group_name_Hall '-P 4 2 3'
loop_
_atom_site_label
_atom_site_fract_x
_atom_site_fract_y
_atom_site_fract_z
_atom_site_occupancy
Al1 0.000 0.000 0.500 1
Os1 0.500 0.500 0.500 1
N1 0.000 0.000 0.000 1